w) ## MnHg3Pt (PBE)

Data for a relaxed MnHg3Pt crystal.

abc: 5.2579 5.2579 5.2579
angles: 90.00 90.00 90.00
Element x y z (fractional)
Hg1 0.5000 0.0000 0.0000
Hg2 0.0000 0.5000 0.0000
Pt1 0.0000 0.0000 0.0000
Hg3 0.0000 0.0000 0.5000
Mn1 0.5000 0.5000 0.5000

DOS(E_F), states/eV per atom: 0.52
Volume, Å³/f.u.: 145
Crystal system: cubic

***

x) ## MnHg3Pt (PBE)

Data for a relaxed MnHg3Pt crystal.

abc: 5.0546 5.0546 5.0546
angles: 90.00 90.00 90.00
Element x y z (fractional)
Hg1 0.0000 0.0000 0.5000
Pt1 0.5000 0.5000 0.5000
Hg2 0.0000 0.5000 0.0000
Mn1 0.0000 0.0000 0.0000
Hg3 0.5000 0.0000 0.0000

DOS(E_F), states/eV per atom: 0.86
Volume, Å³/f.u.: 129
Crystal system: cubic

***

Most stable to least stable: w), x)